! GaSi2Sb2 GGA-PBE relaxed; values from VASP
&SYSTEM
  ibrav = 0, nat = 5, ntyp = 3
/
ATOMIC_SPECIES
Sb 121.76 Sb.upf
Si 28.09 Si.upf
Ga 69.72 Ga.upf
CELL_PARAMETERS angstrom
3.4870 0.0000 0.0000
0.0000 3.4870 0.0000
1.7435 1.7435 8.9663
ATOMIC_POSITIONS angstrom
Sb 1.7435 1.7435 1.8844
Sb 3.4870 3.4870 7.0819
Si 3.4870 1.7435 4.4831
Si 1.7435 3.4870 4.4831
Ga 0.0000 0.0000 0.0000
! - energy relative to the elements, uncorrected (meV/atom) = 301
! - spin magnetization (μB per cell) = 0.00
! - offset from the most stable computed form (eV/f.u.) = 0.00


! NaHf2MnMo GGA-PBE relaxed; values from VASP
&SYSTEM
  ibrav = 0, nat = 5, ntyp = 4
/
ATOMIC_SPECIES
Na 22.99 Na.upf
Mo 95.94 Mo.upf
Mn 54.94 Mn.upf
Hf 178.49 Hf.upf
CELL_PARAMETERS angstrom
4.9289 0.0000 0.0000
0.0000 4.4745 0.0000
0.0000 0.0000 4.9289
ATOMIC_POSITIONS angstrom
Na 2.4645 2.2372 2.4645
Mo 0.0000 2.2372 0.0000
Mn 0.0000 0.0000 0.0000
Hf 0.0000 0.0000 2.4645
Hf 2.4645 0.0000 0.0000
! - spin magnetization (μB per cell) = 0.00
! - energy of formation (kcal/mol of atoms) = 15.97


! SrAl2Tl GGA-PBE relaxed; values from VASP
&SYSTEM
  ibrav = 0, nat = 4, ntyp = 3
/
ATOMIC_SPECIES
Sr 87.62 Sr.upf
Tl 204.38 Tl.upf
Al 26.98 Al.upf
CELL_PARAMETERS angstrom
0.0000 3.7552 3.7552
3.7552 0.0000 3.7552
3.7552 3.7552 0.0000
ATOMIC_POSITIONS angstrom
Sr 0.0000 0.0000 0.0000
Tl 3.7552 3.7552 3.7552
Al 1.8776 1.8776 1.8776
Al 5.6328 5.6328 5.6328
! - spin magnetization (μB per cell) = 0.00
! - offset from the most stable computed form (eV/f.u.) = 1.10
! - energy of formation (kcal/mol of atoms) = 2.59


! NdYInHg GGA-PBE relaxed; values from VASP
&SYSTEM
  ibrav = 0, nat = 4, ntyp = 4
/
ATOMIC_SPECIES
Y 88.91 Y.upf
Nd 144.24 Nd.upf
Hg 200.59 Hg.upf
In 114.82 In.upf
CELL_PARAMETERS angstrom
5.3940 0.0000 0.0000
2.6970 4.6714 0.0000
2.6970 1.5571 4.4042
ATOMIC_POSITIONS angstrom
Y 8.0910 4.6714 3.3031
Nd 2.6970 1.5571 1.1010
Hg 5.3940 3.1142 2.2021
In 0.0000 0.0000 0.0000
! - spin magnetization (μB per cell) = 0.38
! - energy of formation (kcal/mol of atoms) = -11.16


! HoGa2Ni GGA-PBE relaxed; values from VASP
&SYSTEM
  ibrav = 0, nat = 4, ntyp = 3
/
ATOMIC_SPECIES
Ni 58.69 Ni.upf
Ho 164.93 Ho.upf
Ga 69.72 Ga.upf
CELL_PARAMETERS angstrom
-2.5246 0.0986 -1.8903
-0.1535 -3.1514 0.0405
-4.0905 0.2695 5.4773
ATOMIC_POSITIONS angstrom
Ni -1.3390 -1.5264 -0.9249
Ho -3.3843 -1.3916 1.8137
Ga -3.2993 0.2174 4.4179
Ga -0.7912 0.0521 1.0594
! - spin magnetization (μB per cell) = 0.00
! - energy of formation (kcal/mol of atoms) = -9.66


! ScBeRh GGA-PBE relaxed; values from VASP
&SYSTEM
  ibrav = 0, nat = 6, ntyp = 3
/
ATOMIC_SPECIES
Sc 44.96 Sc.upf
Be 9.01 Be.upf
Rh 102.91 Rh.upf
CELL_PARAMETERS angstrom
4.1821 0.0000 2.3482
1.5870 4.1555 2.0718
-0.0028 -0.1918 4.9033
ATOMIC_POSITIONS angstrom
Sc 4.2586 1.4784 4.6610
Sc 1.5077 2.4853 4.6623
Be 0.0000 0.0000 0.0000
Be 2.0911 0.0000 1.1741
Rh 2.8846 2.0777 2.2100
Rh 2.0897 -0.0959 3.6257
! - spin magnetization (μB per cell) = 0.00
! - offset from the most stable computed form (eV/f.u.) = 0.00
! - energy of formation (kcal/mol of atoms) = -15.16


! P2IF GGA-PBE relaxed; values from VASP
&SYSTEM
  ibrav = 0, nat = 4, ntyp = 3
/
ATOMIC_SPECIES
I 126.90 I.upf
P 30.97 P.upf
F 19.00 F.upf
CELL_PARAMETERS angstrom
0.0000 3.2922 3.2922
3.2922 0.0000 3.2922
3.2922 3.2922 0.0000
ATOMIC_POSITIONS angstrom
I 3.2922 3.2922 3.2922
P 1.6461 1.6461 1.6461
P 4.9383 4.9383 4.9383
F 0.0000 0.0000 0.0000
! - energy relative to the elements, uncorrected (meV/atom) = 577
! - spin magnetization (μB per cell) = 0.00
! - offset from the most stable computed form (eV/f.u.) = 1.73